# Ce4SnHg2

Ce4SnHg2 after structural relaxation (GGA-PBE, Alexandria via LeMat-Bulk).

Cell and atoms, written as POSCAR:
```
Ce4SnHg2
1.0
-0.757 -3.038 4.325
-4.123 -3.388 0.195
3.186 -8.194 -1.901
Hg Ce Sn
2 4 1
direct
0.744 0.744 0.767 Hg
0.256 0.256 0.233 Hg
0.132 0.132 0.603 Ce
0.868 0.868 0.397 Ce
0.613 0.613 0.160 Ce
0.387 0.387 0.840 Ce
0.000 0.000 0.000 Sn
```

Computed properties:
**Formation enthalpy at 0 K**: -0.182 eV/atom


# HoThGe

HoThGe after structural relaxation (GGA-PBE, Alexandria via LeMat-Bulk).

Cell and atoms, written as POSCAR:
```
HoThGe
1.0
-3.049 -1.521 2.227
1.345 -4.479 -1.219
1.844 2.086 3.950
Ho Ge Th
1 1 1
direct
0.552 0.667 0.333 Ho
0.405 0.333 0.667 Ge
0.043 0.000 0.000 Th
```

Computed properties:
**Formation enthalpy at 0 K**: -0.219 eV/atom


# YP2WCl

YP2WCl after structural relaxation (GGA-PBE, Alexandria via LeMat-Bulk).

Cell and atoms, written as POSCAR:
```
YP2WCl
1.0
-0.864 -3.897 2.518
4.589 -0.341 1.047
-0.695 2.687 3.920
Y P Cl W
1 2 1 1
direct
0.500 0.500 0.500 Y
0.000 0.500 0.000 P
0.500 0.000 0.000 P
0.000 0.000 0.500 Cl
0.000 0.000 0.000 W
```

Computed properties:
**E_form (uncorrected)**: -0.134 eV/atom


# Tl2InCoW

Tl2InCoW after structural relaxation (GGA-PBE, Alexandria via LeMat-Bulk).

Cell and atoms, written as POSCAR:
```
Tl2InCoW
1.0
-0.705 4.977 -2.445
2.304 -1.861 -4.454
-4.996 -1.640 -1.898
Tl In W Co
2 1 1 1
direct
0.500 0.000 0.000 Tl
0.000 0.000 0.500 Tl
0.000 0.000 0.000 In
0.000 0.500 0.000 W
0.500 0.500 0.500 Co
```

Computed properties:
**Formation enthalpy at 0 K**: 2.071 eV/atom


# Zn4NiRh

Zn4NiRh after structural relaxation (GGA-PBE, Alexandria via LeMat-Bulk).

Cell and atoms, written as POSCAR:
```
Zn4NiRh
1.0
-2.990 1.675 -1.090
-2.977 -2.844 -2.138
-2.935 1.869 4.991
Zn Rh Ni
4 1 1
direct
0.326 0.012 0.337 Zn
0.674 0.988 0.663 Zn
0.837 0.502 0.824 Zn
0.163 0.498 0.176 Zn
0.000 0.000 0.000 Rh
0.500 0.500 0.500 Ni
```

Computed properties:
**Formation enthalpy at 0 K**: -0.243 eV/atom


# LaSmThAl

LaSmThAl after structural relaxation (GGA-PBE, Alexandria via LeMat-Bulk).

Cell and atoms, written as POSCAR:
```
LaSmThAl
1.0
5.509 0.000 0.000
2.755 4.771 0.000
2.755 1.590 4.498
Al La Sm Th
1 1 1 1
direct
0.500 0.500 0.500 Al
0.250 0.250 0.250 La
0.000 0.000 0.000 Sm
0.750 0.750 0.750 Th
```

Computed properties:
**Formation enthalpy at 0 K**: 0.013 eV/atom


# DyCdHg5

DyCdHg5 after structural relaxation (GGA-PBE, Alexandria via LeMat-Bulk).

Cell and atoms, written as POSCAR:
```
DyCdHg5
1.0
4.897 0.000 0.000
0.000 4.897 0.000
0.000 0.000 7.371
Hg Cd Dy
5 1 1
direct
0.000 0.500 0.724 Hg
0.500 0.000 0.724 Hg
0.500 0.000 0.276 Hg
0.000 0.500 0.276 Hg
0.500 0.500 0.000 Hg
0.000 0.000 0.500 Cd
0.000 0.000 0.000 Dy
```

Computed properties:
**Formation enthalpy at 0 K**: -0.189 eV/atom


# TaSiHg2

TaSiHg2 after structural relaxation (GGA-PBE, Alexandria via LeMat-Bulk).

Cell and atoms, written as POSCAR:
```
TaSiHg2
1.0
-1.947 -0.861 5.569
0.520 -5.343 2.594
2.460 4.846 -2.451
Ta Hg Si
1 2 1
direct
0.270 0.770 0.500 Ta
0.738 0.238 0.500 Hg
0.016 0.016 0.000 Hg
0.476 0.476 0.000 Si
```

Computed properties:
**E_form (uncorrected)**: 0.475 eV/atom


Number 1: spin magnetization 5.67 μB per formula unit, E -29.62 eV/cell. Number 2: spin magnetization 0.00 μB per formula unit, E -17.27 eV/cell. Number 3: spin magnetization 0.00 μB per formula unit, E -32.75 eV/cell. Number 4: spin magnetization 5.82 μB per formula unit, E -17.18 eV/cell. Number 5: spin magnetization 0.00 μB per formula unit, E -19.69 eV/cell. Number 6: spin magnetization 0.00 μB per formula unit, E -20.76 eV/cell. Number 7: spin magnetization 0.00 μB per formula unit, E -8.35 eV/cell. Number 8: spin magnetization 0.00 μB per formula unit, E -15.98 eV/cell.